Entry 1:
Compound: LaPm4Pr
Source: the Alexandria database
Functional: GGA-PBE
Structure: optimized geometry

POSCAR file:
```
LaPm4Pr
1.0
5.201 0.000 0.000
0.000 3.589 -0.820
0.000 -1.134 11.574
Pm Pr La
4 1 1
Direct
0.500 0.333 0.833 Pm
0.000 0.667 0.668 Pm
0.500 0.667 0.167 Pm
0.000 0.333 0.332 Pm
0.000 0.000 0.000 Pr
0.500 0.000 0.500 La
```

Size of the total moment (μB/cell): 0.0
V (Å³/f.u.): 211
E_form (eV/f.u.): 0.1
Excess energy over the best structure of this formula in the dataset (meV/atom): 0

---

Entry 2:
Compound: UTl3Se4
Source: the Alexandria database
Functional: GGA-PBE
Structure: optimized geometry

POSCAR file:
```
UTl3Se4
1.0
-5.689 -1.822 0.087
0.071 -0.710 -10.284
2.904 -9.034 0.643
Se Tl U
8 6 2
Direct
0.564 0.195 0.000 Se
0.064 0.941 0.000 Se
0.564 0.657 0.269 Se
0.064 0.805 0.500 Se
0.564 0.657 0.731 Se
0.064 0.343 0.231 Se
0.064 0.343 0.769 Se
0.564 0.059 0.500 Se
0.064 0.664 0.801 Tl
0.064 0.664 0.199 Tl
0.064 0.124 0.500 Tl
0.564 0.336 0.301 Tl
0.564 0.336 0.699 Tl
0.564 0.876 0.000 Tl
0.564 0.801 0.500 U
0.064 0.199 0.000 U
```

Size of the total moment (μB/cell): 2.0
V (Å³/f.u.): 293
Formation energy from raw total energies (eV/atom): -0.554
Excess energy over the best structure of this formula in the dataset (meV/atom): 177

---

Entry 3:
Compound: Tm2Th5
Source: the Alexandria database
Functional: GGA-PBE
Structure: optimized geometry

POSCAR file:
```
Tm2Th5
1.0
-4.186 1.323 2.363
4.515 -1.833 3.764
2.163 7.654 -0.455
Th Tm
5 2
Direct
0.214 0.428 0.643 Th
0.786 0.572 0.357 Th
0.500 0.000 0.500 Th
0.643 0.287 0.931 Th
0.357 0.713 0.069 Th
0.070 0.141 0.215 Tm
0.930 0.859 0.785 Tm
```

Size of the total moment (μB/cell): 0.0
V (Å³/f.u.): 222
E_form (eV/f.u.): 0.3
Excess energy over the best structure of this formula in the dataset (meV/atom): 0

---

Entry 4:
Compound: ZnInMo4
Source: the Alexandria database
Functional: GGA-PBE
Structure: optimized geometry

POSCAR file:
```
ZnInMo4
1.0
-4.742 -1.273 2.010
-4.148 3.224 -0.743
-3.947 -1.457 -3.233
Mo In Zn
4 1 1
Direct
0.872 0.376 0.376 Mo
0.376 0.872 0.376 Mo
0.376 0.376 0.376 Mo
0.376 0.376 0.872 Mo
0.000 0.000 0.000 In
0.750 0.750 0.750 Zn
```

Size of the total moment (μB/cell): 0.0
V (Å³/f.u.): 106
E_form (eV/f.u.): 2.9

---

Entry 5:
Compound: Pm3NiRu
Source: the Alexandria database
Functional: GGA-PBE
Structure: optimized geometry

POSCAR file:
```
Pm3NiRu
1.0
4.038 0.000 0.001
0.000 6.434 0.005
-0.001 -0.004 9.544
Ru Ni Pm
2 2 6
Direct
0.250 0.056 0.250 Ru
0.750 0.944 0.750 Ru
0.250 0.444 0.250 Ni
0.750 0.556 0.750 Ni
0.250 0.257 0.750 Pm
0.250 0.761 0.557 Pm
0.250 0.761 0.943 Pm
0.750 0.239 0.443 Pm
0.750 0.743 0.250 Pm
0.750 0.239 0.057 Pm
```

Size of the total moment (μB/cell): 0.0
V (Å³/f.u.): 124
E_form (eV/f.u.): -1.1
Excess energy over the best structure of this formula in the dataset (meV/atom): 10

---

Entry 6:
Compound: Ta2BeSi
Source: the Alexandria database
Functional: GGA-PBE
Structure: optimized geometry

POSCAR file:
```
Ta2BeSi
1.0
2.839 -0.008 0.000
-0.541 2.787 0.000
0.000 0.000 7.394
Ta Si Be
2 1 1
Direct
0.000 0.000 0.015 Ta
0.000 0.000 0.485 Ta
0.500 0.500 0.750 Si
0.500 0.500 0.250 Be
```

Size of the total moment (μB/cell): 0.0
V (Å³/f.u.): 58
Formation energy from raw total energies (eV/atom): -0.097
Excess energy over the best structure of this formula in the dataset (meV/atom): 471

---

Entry 7:
Compound: Li2Ho3In3
Source: the Alexandria database
Functional: GGA-PBE
Structure: optimized geometry

POSCAR file:
```
Li2Ho3In3
1.0
-3.642 2.901 -0.750
0.614 -4.121 -4.096
-9.239 -9.489 8.162
In Li Ho
6 4 6
Direct
0.614 0.228 0.047 In
0.661 0.322 0.750 In
0.339 0.678 0.250 In
0.386 0.772 0.547 In
0.386 0.772 0.953 In
0.614 0.228 0.453 In
0.786 0.571 0.593 Li
0.214 0.429 0.093 Li
0.214 0.429 0.407 Li
0.786 0.571 0.907 Li
0.088 0.175 0.888 Ho
0.088 0.175 0.612 Ho
0.912 0.825 0.388 Ho
0.364 0.728 0.750 Ho
0.636 0.272 0.250 Ho
0.912 0.825 0.112 Ho
```

Size of the total moment (μB/cell): 0.0
V (Å³/f.u.): 196
E_form (eV/f.u.): -2.5

---

Entry 8:
Compound: Mg5Hg2PdPt2
Source: the Alexandria database
Functional: GGA-PBE
Structure: optimized geometry

POSCAR file:
```
Mg5Hg2PdPt2
1.0
3.017 0.000 0.000
0.000 11.402 0.000
0.000 0.000 11.402
Pt Mg Pd Hg
4 10 2 4
Direct
0.000 0.864 0.364 Pt
0.000 0.636 0.864 Pt
0.000 0.136 0.636 Pt
0.000 0.364 0.136 Pt
0.500 0.955 0.194 Mg
0.500 0.194 0.045 Mg
0.500 0.455 0.306 Mg
0.500 0.306 0.545 Mg
0.500 0.806 0.955 Mg
0.500 0.500 0.000 Mg
0.500 0.045 0.806 Mg
0.500 0.000 0.500 Mg
0.500 0.545 0.694 Mg
0.500 0.694 0.455 Mg
0.000 0.500 0.500 Pd
0.000 0.000 0.000 Pd
0.000 0.679 0.179 Hg
0.000 0.821 0.679 Hg
0.000 0.179 0.321 Hg
0.000 0.321 0.821 Hg
```

Size of the total moment (μB/cell): 0.0
V (Å³/f.u.): 196
E_form (eV/f.u.): -5.2

---

Entry 9:
Compound: TeH2Pt2
Source: the Alexandria database
Functional: GGA-PBE
Structure: optimized geometry

POSCAR file:
```
TeH2Pt2
1.0
-3.876 -5.806 -0.052
4.908 -3.310 3.699
-1.389 0.904 2.652
Te H Pt
2 4 4
Direct
0.500 0.500 0.000 Te
0.000 0.000 0.000 Te
0.206 0.294 0.500 H
0.294 0.794 0.500 H
0.706 0.206 0.500 H
0.794 0.706 0.500 H
0.137 0.363 0.000 Pt
0.363 0.863 0.000 Pt
0.863 0.637 0.000 Pt
0.637 0.137 0.000 Pt
```

Size of the total moment (μB/cell): 0.0
V (Å³/f.u.): 76
Excess energy over the best structure of this formula in the dataset (meV/atom): 0

---

Entry 10:
Compound: LaScGeAu2
Source: the Alexandria database
Functional: GGA-PBE
Structure: optimized geometry

POSCAR file:
```
LaScGeAu2
1.0
-4.871 -0.180 -1.038
-1.107 -1.705 5.490
-0.472 4.764 1.385
Au La Ge Sc
2 1 1 1
Direct
0.500 0.000 0.000 Au
0.000 0.000 0.500 Au
0.000 0.500 0.000 La
0.500 0.500 0.500 Ge
0.000 0.000 0.000 Sc
```

Size of the total moment (μB/cell): 0.0
V (Å³/f.u.): 145
E_form (eV/f.u.): 1.9

---

Entry 11:
Compound: KBi2OF
Source: the Alexandria database
Functional: GGA-PBE
Structure: optimized geometry

POSCAR file:
```
KBi2OF
1.0
-3.827 -1.328 -4.411
3.201 0.393 -2.895
1.287 -5.814 0.633
Bi F K O
2 1 1 1
Direct
0.500 0.000 0.000 Bi
0.000 0.000 0.500 Bi
0.500 0.500 0.500 F
0.000 0.000 0.000 K
0.000 0.500 0.000 O
```

Size of the total moment (μB/cell): 0.0
V (Å³/f.u.): 155
Formation energy from raw total energies (eV/atom): 0.680

---

Entry 12:
Compound: Dy3TmSb
Source: the Alexandria database
Functional: GGA-PBE
Structure: optimized geometry

POSCAR file:
```
Dy3TmSb
1.0
8.623 0.000 0.000
0.000 8.587 -1.055
0.000 -4.250 8.658
Sb Tm Dy
4 4 12
Direct
0.277 0.895 0.978 Sb
0.223 0.895 0.478 Sb
0.777 0.105 0.522 Sb
0.723 0.105 0.022 Sb
0.069 0.306 0.728 Tm
0.569 0.694 0.772 Tm
0.431 0.306 0.228 Tm
0.931 0.694 0.272 Tm
0.694 0.407 0.932 Dy
0.060 0.247 0.054 Dy
0.560 0.753 0.446 Dy
0.606 0.911 0.187 Dy
0.106 0.089 0.313 Dy
0.194 0.593 0.568 Dy
0.940 0.753 0.946 Dy
0.394 0.089 0.813 Dy
0.894 0.911 0.687 Dy
0.806 0.407 0.432 Dy
0.440 0.247 0.554 Dy
0.306 0.593 0.068 Dy
```

Size of the total moment (μB/cell): 0.0
V (Å³/f.u.): 151
Formation energy from raw total energies (eV/atom): -0.350